No. 1
Computed, not measured: a relaxed structure of Er5Ag3 at the PBE level of DFT.

Lattice parameters (Å, degrees): 3.5656 3.5656 16.0361 90.00 90.00 90.00
With the nearest neighbours (Å) after each atom.
Space group P4/mmm (No. 123)
Asymmetric unit:
Er  0.0000  0.0000  0.0000 (multiplicity 1)  8 Ag 3.11
Er  0.0000  0.0000  0.2282 (multiplicity 2)  4 Ag 3.12
Er  0.5000  0.5000  0.3845 (multiplicity 2)  4 Ag 3.13
Ag  0.0000  0.0000  0.5000 (multiplicity 1)  8 Er 3.13
Ag  0.5000  0.5000  0.1133 (multiplicity 2)  8 Er 3.11-3.12

Values from the calculation:
Uncorrected energy in eV per atom: -4.1440
Formation energy in eV/f.u.: -1.78
V in Å³/f.u.: 204
Total moment in μB per atom: 0.164

---

No. 2
Computed, not measured: a relaxed structure of Er3Ag2 at the PBE level of DFT.

Lattice parameters (Å, degrees): 5.0224 7.9450 10.6189 90.06 90.04 108.36
With the nearest neighbours (Å) after each atom.
Space group P-1 (No. 2)
Asymmetric unit:
Er  0.0000  0.0000  0.0000 (multiplicity 1)  6 Ag 3.07
Er  0.0026  0.0046  0.3359 (multiplicity 2)  5 Ag 3.04-3.11
Er  0.3306  0.6618  0.9966 (multiplicity 2)  5 Ag 3.03-3.11
Er  0.3327  0.6655  0.3325 (multiplicity 2)  6 Ag 3.06-3.07
Er  0.3365  0.6725  0.6685 (multiplicity 2)  5 Ag 3.04-3.11
Ag  0.1663  0.3324  0.8327 (multiplicity 2)  8 Er 3.03-3.11
Ag  0.1672  0.3342  0.5011 (multiplicity 2)  8 Er 3.04-3.11
Ag  0.4992  0.9984  0.1660 (multiplicity 2)  8 Er 3.04-3.11

Values from the calculation:
Uncorrected energy in eV per atom: -3.9878
Formation energy in eV/f.u.: -0.55
V in Å³/f.u.: 134
Total moment in μB per atom: 0.000

---

No. 3
Computed, not measured: a relaxed structure of Er3Ag2 at the PBE level of DFT.

Lattice parameters (Å, degrees): 3.5768 3.5768 19.4697 90.00 90.00 90.00
With the nearest neighbours (Å) after each atom.
Space group P4/mmm (No. 123)
Asymmetric unit:
Er  0.0000  0.0000  0.0000 (multiplicity 1)  8 Ag 3.11
Er  0.0000  0.0000  0.1883 (multiplicity 2)  8 Ag 3.11-3.13
Er  0.0000  0.0000  0.3754 (multiplicity 2)  4 Ag 3.12
Er  0.5000  0.5000  0.5000 (multiplicity 1)  12 Er 3.50-3.58
Ag  0.5000  0.5000  0.0932 (multiplicity 2)  8 Er 3.11-3.13
Ag  0.5000  0.5000  0.2816 (multiplicity 2)  8 Er 3.11-3.12

Values from the calculation:
Uncorrected energy in eV per atom: -4.1340
Formation energy in eV/f.u.: -1.28
V in Å³/f.u.: 125
Total moment in μB per atom: 0.000

---

No. 4
Computed, not measured: a relaxed structure of Er3Ag at the PBE level of DFT.

Lattice parameters (Å, degrees): 4.5485 4.5485 10.3372 90.00 90.00 90.00
With the nearest neighbours (Å) after each atom.
Space group I4/mmm (No. 139)
Asymmetric unit:
Er  0.0000  0.0000  0.0000 (multiplicity 2)  4 Ag 3.22, 8 Er 3.44
Er  0.0000  0.5000  0.2500 (multiplicity 4)  8 Er 3.22-3.44, 4 Ag 3.44
Ag  0.0000  0.0000  0.5000 (multiplicity 2)  12 Er 3.22-3.44

Values from the calculation:
Uncorrected energy in eV per atom: -4.1063
Formation energy in eV/f.u.: 0.11
V in Å³/f.u.: 107
Total moment in μB per atom: 0.000

---

No. 5
Computed, not measured: a relaxed structure of Er5Ag2 at the PBE level of DFT.

Lattice parameters (Å, degrees): 15.7339 7.1232 6.7493 90.00 90.19 90.00
With the nearest neighbours (Å) after each atom.
Space group C2/c (No. 15)
Asymmetric unit:
Er  0.0000  0.0006  0.2500 (multiplicity 4)  4 Ag 3.02-3.05, 4 Er 3.37-3.38
Er  0.0945  0.3555  0.5005 (multiplicity 8)  1 Ag 2.83
Er  0.2249  0.0060  0.7535 (multiplicity 8)  2 Ag 2.99-3.04
Ag  0.1135  0.2501  0.0031 (multiplicity 8)  5 Er 2.83-3.05

Values from the calculation:
Uncorrected energy in eV per atom: -4.2082
Formation energy in eV/f.u.: -0.94
V in Å³/f.u.: 189
Total moment in μB per atom: 0.000

---

No. 6
Computed, not measured: a relaxed structure of ErAg6 at the PBE level of DFT.

Lattice parameters (Å, degrees): 7.3373 7.3373 7.3373 90.00 90.00 90.00
With the nearest neighbours (Å) after each atom.
Space group Im-3m (No. 229)
Asymmetric unit:
Er  0.0000  0.0000  0.0000 (multiplicity 2)  24 Ag 4.10
Ag  0.0000  0.2500  0.5000 (multiplicity 12)  4 Ag 2.59

Values from the calculation:
Uncorrected energy in eV per atom: -2.4287
Formation energy in eV/f.u.: 4.67
V in Å³/f.u.: 198
Total moment in μB per atom: 0.000

---

No. 7
Computed, not measured: a relaxed structure of ErAg8 at the PBE level of DFT.

Lattice parameters (Å, degrees): 8.9291 8.9291 4.2923 90.00 90.00 90.00
With the nearest neighbours (Å) after each atom.
Space group I4/mmm (No. 139)
Asymmetric unit:
Er  0.0000  0.0000  0.0000 (multiplicity 2)  12 Ag 3.01-3.04
Ag  0.0000  0.3368  0.0000 (multiplicity 8)  11 Ag 2.92-3.02, 1 Er 3.01
Ag  0.1700  0.1700  0.5000 (multiplicity 8)  10 Ag 2.95-3.04, 2 Er 3.04

Values from the calculation:
Uncorrected energy in eV per atom: -3.0941
Formation energy in eV/f.u.: -0.47
V in Å³/f.u.: 171
Total moment in μB per atom: 0.000

---

No. 8
Computed, not measured: a relaxed structure of Er3Ag4 at the PBE level of DFT.

Lattice parameters (Å, degrees): 4.9979 4.9979 24.5586 90.00 90.00 120.00
With the nearest neighbours (Å) after each atom.
Space group R-3m (No. 166, hexagonal axes)
Asymmetric unit:
Er  0.0000  0.0000  0.0000 (multiplicity 3)  8 Ag 3.00-3.03
Er  0.0000  0.0000  0.2440 (multiplicity 6)  8 Ag 2.99-3.15
Ag  0.0000  0.0000  0.1222 (multiplicity 6)  5 Er 2.99-3.00
Ag  0.0000  0.0000  0.3708 (multiplicity 6)  7 Er 3.03-3.15

Values from the calculation:
Uncorrected energy in eV per atom: -3.6920
Formation energy in eV/f.u.: -0.75
V in Å³/f.u.: 177
Total moment in μB per atom: 0.000

---

No. 9
Computed, not measured: a relaxed structure of Er14Ag51 at the PBE level of DFT.

Lattice parameters (Å, degrees): 12.7423 12.7423 9.3088 90.00 90.00 120.00
With the nearest neighbours (Å) after each atom.
Space group P-6 (No. 174)
Asymmetric unit:
Er  0.0000  0.0000  0.1917 (multiplicity 2)  15 Ag 3.04-3.29
Er  0.1118  0.3978  0.5000 (multiplicity 3)  14 Ag 3.02-3.37
Er  0.1388  0.6755  0.0000 (multiplicity 3)  12 Ag 3.07-3.27
Er  0.3849  0.2691  0.5000 (multiplicity 3)  14 Ag 3.09-3.33
Er  0.4684  0.1398  0.0000 (multiplicity 3)  14 Ag 3.07-3.30
Ag  0.0601  0.2406  0.0000 (multiplicity 3)  8 Ag 2.71-2.98
Ag  0.0733  0.8153  0.2767 (multiplicity 6)  7 Ag 2.79-3.04, 1 Er 3.04
Ag  0.1039  0.4437  0.1652 (multiplicity 6)  6 Ag 2.82-3.08, 2 Er 3.10
Ag  0.1168  0.6275  0.3471 (multiplicity 6)  7 Ag 2.79-3.04
Ag  0.1280  0.0028  0.5000 (multiplicity 3)  6 Ag 2.77-2.97, 1 Er 3.02
Ag  0.2337  0.1773  0.0000 (multiplicity 3)  8 Ag 2.71-2.95
Ag  0.2736  0.0783  0.2574 (multiplicity 6)  8 Ag 2.77-3.04, 1 Er 3.09
Ag  0.3333  0.6667  0.1913 (multiplicity 2)  7 Ag 2.87-2.93, 3 Er 3.10
Ag  0.3333  0.6667  0.5000 (multiplicity 1)  8 Ag 2.87-2.92, 3 Er 3.17
Ag  0.4375  0.3351  0.1643 (multiplicity 6)  7 Ag 2.80-3.06, 2 Er 3.07-3.11
Ag  0.4982  0.1155  0.3484 (multiplicity 6)  7 Ag 2.79-3.04
Ag  0.6667  0.3333  0.1911 (multiplicity 2)  7 Ag 2.88-2.94, 3 Er 3.07
Ag  0.6667  0.3333  0.5000 (multiplicity 1)  8 Ag 2.88-2.89

Values from the calculation:
Uncorrected energy in eV per atom: -3.4428
Formation energy in eV/f.u.: -14.49
V in Å³/f.u.: 1309
Total moment in μB per atom: 0.000

---

No. 10
Computed, not measured: a relaxed structure of Er5Ag at the PBE level of DFT.

Lattice parameters (Å, degrees): 4.6679 14.8567 4.8328 90.00 90.00 90.00
With the nearest neighbours (Å) after each atom.
Space group Cmmm (No. 65)
Asymmetric unit:
Er  0.0000  0.0000  0.0000 (multiplicity 2)  4 Ag 3.36, 8 Er 3.41-3.44
Er  0.0000  0.1621  0.5000 (multiplicity 4)  2 Ag 3.35, 10 Er 3.36-3.50
Er  0.0000  0.3300  0.0000 (multiplicity 4)  10 Er 3.33-3.47, 2 Ag 3.50
Ag  0.0000  0.5000  0.5000 (multiplicity 2)  12 Er 3.35-3.50

Values from the calculation:
Uncorrected energy in eV per atom: -4.2663
Formation energy in eV/f.u.: 0.07
V in Å³/f.u.: 168
Total moment in μB per atom: 0.000

---

No. 11
Computed, not measured: a relaxed structure of Er3Ag8 at the PBE level of DFT.

Lattice parameters (Å, degrees): 9.7229 4.1388 11.5845 90.00 104.40 90.00
With the nearest neighbours (Å) after each atom.
Space group C2/m (No. 12)
Asymmetric unit:
Er  0.0000  0.0000  0.0000 (multiplicity 2)  12 Ag 3.01-3.12
Er  0.1061  0.0000  0.6451 (multiplicity 4)  11 Ag 3.03-3.12
Ag  0.0552  0.5000  0.8245 (multiplicity 4)  7 Ag 2.95-3.17, 4 Er 3.04-3.06
Ag  0.1330  0.5000  0.4563 (multiplicity 4)  7 Ag 3.00-3.31, 5 Er 3.05-3.12
Ag  0.1645  0.0000  0.2683 (multiplicity 4)  8 Ag 2.98-3.31, 4 Er 3.03-3.12
Ag  0.2259  0.5000  0.0925 (multiplicity 4)  8 Ag 2.95-3.14, 4 Er 3.01-3.11

Values from the calculation:
Uncorrected energy in eV per atom: -3.5503
Formation energy in eV/f.u.: -2.56
V in Å³/f.u.: 226
Total moment in μB per atom: 0.000

---

No. 12
Computed, not measured: a relaxed structure of EuErAgHg at the PBE level of DFT.

Lattice parameters (Å, degrees): 7.4759 7.4759 7.4759 90.00 90.00 90.00
With the nearest neighbours (Å) after each atom.
Space group F-43m (No. 216)
Asymmetric unit:
Eu  0.0000  0.0000  0.0000 (multiplicity 4)  4 Hg 3.24, 4 Ag 3.24
Er  0.0000  0.0000  0.5000 (multiplicity 4)  4 Ag 3.24, 4 Hg 3.24
Ag  0.2500  0.2500  0.2500 (multiplicity 4)  4 Er 3.24, 4 Eu 3.24
Hg  0.2500  0.2500  0.7500 (multiplicity 4)  4 Er 3.24, 4 Eu 3.24

Values from the calculation:
Uncorrected energy in eV per atom: -4.8677
Formation energy in eV/f.u.: -1.48
V in Å³/f.u.: 104
Total moment in μB per atom: 1.803

---

The lowest V belongs to which entry?
EuErAgHg